Compound: Mo3Br
Source: the Alexandria database
Functional: PBE
Structure: optimized geometry

a = 4.0641 Å, b = 4.0641 Å, c = 4.0641 Å
α = 90.00°, β = 90.00°, γ = 90.00°
Closest atoms and distances in Å follow each position.
Atoms (fractional coordinates):
Mo1 0.0000 0.0000 0.5000  4 Br 2.87, 8 Mo 2.87
Mo2 0.0000 0.5000 0.0000  4 Br 2.87, 8 Mo 2.87
Mo3 0.5000 0.0000 0.0000  4 Br 2.87, 8 Mo 2.87
Br1 0.5000 0.5000 0.5000  12 Mo 2.87

Properties
The density of states at the Fermi level comes out at 6.38 states/eV/f.u. For the electronic total energy, the calculation gives -0.5387 Ry per atom. The formation energy without anion corrections comes out at 1212 meV per atom. As for the space group: Pm-3m (221). The value obtained for the distance to the lowest polymorph of the same formula is 0.781 eV per atom.


Compound: Tl2Hg2Bi2Pb
Source: the Alexandria database
Functional: PBE
Structure: optimized geometry

a = 10.0054 Å, b = 10.0054 Å, c = 10.0054 Å
α = 30.05°, β = 30.05°, γ = 30.05°
Closest atoms and distances in Å follow each position.
Atoms (fractional coordinates):
Tl1 0.1340 0.1340 0.1340  3 Hg 3.26, 3 Tl 3.53
Tl2 0.8660 0.8660 0.8660  3 Hg 3.26, 3 Tl 3.53
Hg1 0.4222 0.4222 0.4222  3 Bi 3.16, 3 Tl 3.26
Hg2 0.5778 0.5778 0.5778  3 Bi 3.16, 3 Tl 3.26
Bi1 0.2792 0.2792 0.2792  3 Hg 3.16, 3 Pb 3.37
Bi2 0.7208 0.7208 0.7208  3 Hg 3.16, 3 Pb 3.37
Pb1 0.0000 0.0000 0.0000  6 Bi 3.37

Properties
The density of states at the Fermi level comes out at 2.51 states/eV/f.u. For the electronic total energy, the calculation gives -0.1744 Ry per atom. As for the space group: R-3m (166). The value obtained for the formation energy is 0.0280 eV per atom.


Compound: Cs2TeBr5
Source: the Alexandria database
Functional: PBE
Structure: optimized geometry

a = 7.8787 Å, b = 7.8787 Å, c = 7.8787 Å
α = 118.00°, β = 118.00°, γ = 93.49°
Closest atoms and distances in Å follow each position.
Atoms (fractional coordinates):
Cs1 0.0000 0.5000 0.5000  10 Br 3.91-4.07
Cs2 0.5000 0.0000 0.5000  10 Br 3.91-4.07
Te1 0.2493 0.2493 0.0000  5 Br 2.74-2.98
Br1 0.0065 0.0065 0.5217  1 Te 2.74
Br2 0.0065 0.4848 0.0000  1 Te 2.74
Br3 0.4848 0.0065 0.0000  1 Te 2.74
Br4 0.4848 0.4848 0.4783  1 Te 2.74
Br5 0.5253 0.5253 0.0000  1 Te 2.98

Properties
The density of states at the Fermi level comes out at 0.27 states/eV/f.u. For the electronic total energy, the calculation gives -0.1983 Ry per atom. The formation energy without anion corrections comes out at -1047 meV per atom. As for the space group: I4mm (107).